(1)
4
Lattice="5.939 0.000 0.000 1.993 5.595 0.000 -3.966 -2.797 3.423" Properties=species:S:1:pos:R:3 comment="TlCd2Te (PBE-GGA, relaxed)" e_form_raw_ev_per_atom=0.0296 magmom_total_mub_per_atom=0.00 relative_energy_ev_per_atom=0.096 n_ef_per_ev_cell=2.61 pbc="T T T"
Tl 2.970 0.000 1.712
Te 3.966 2.797 0.000
Cd 0.000 0.000 0.000
Cd 0.996 2.797 1.712

---

(2)
4
Lattice="6.386 -0.011 -0.046 -2.790 6.315 0.030 0.806 0.746 2.984" Properties=species:S:1:pos:R:3 comment="TlCdTe2 (PBE-GGA, relaxed)" e_form_raw_ev_per_atom=0.0177 magmom_total_mub_per_atom=0.00 n_ef_per_ev_cell=1.62 pbc="T T T"
Tl -0.992 3.531 1.507
Te 0.000 0.000 0.000
Te 3.596 0.367 1.469
Cd 1.798 3.152 -0.008

---

Please write out number 2 again, unchanged.
4
Lattice="6.386 -0.011 -0.046 -2.790 6.315 0.030 0.806 0.746 2.984" Properties=species:S:1:pos:R:3 comment="TlCdTe2 (PBE-GGA, relaxed)" e_form_raw_ev_per_atom=0.0177 magmom_total_mub_per_atom=0.00 n_ef_per_ev_cell=1.62 pbc="T T T"
Tl -0.992 3.531 1.507
Te 0.000 0.000 0.000
Te 3.596 0.367 1.469
Cd 1.798 3.152 -0.008